# 1
VASP calculation (PBE) on an optimized crystal structure of Pm3Dy2Er6.

```
Pm3Dy2Er6
1.0
2.8303 -6.0219 0.0000
2.8303 6.0219 0.0000
-0.0129 0.0000 10.4122
Pm Dy Er
3 2 6
direct
0.0000 0.0000 0.0000 Pm
0.2934 0.7066 0.0000 Pm
0.7066 0.2934 0.0000 Pm
0.3672 0.6328 0.5000 Dy
0.6328 0.3672 0.5000 Dy
0.1499 0.8485 0.3014 Er
0.1515 0.8501 0.6986 Er
0.4991 0.4991 0.2112 Er
0.5009 0.5009 0.7888 Er
0.8485 0.1499 0.3014 Er
0.8501 0.1515 0.6986 Er
```

## Properties
As for the space group: C2/m (12). Its calculated volume is 32.3 A^3/atom. Its crystal system is monoclinic. For the relative energy among the computed polymorphs, the calculation gives 0.000 eV per atom. For the formation energy, the calculation gives 158 meV per atom. The energy is -4.4627 eV per atom. The density of states at the Fermi level is 16.35 states/eV/cell.


# 2
VASP calculation (PBE) on an optimized crystal structure of PmPrDy6Er2.

```
PmPrDy6Er2
1.0
4.5975 -7.4978 0.0000
4.5975 7.4978 0.0000
-1.0286 0.0000 9.4384
Pm Pr Dy Er
2 2 12 4
direct
0.0911 0.9089 0.7500 Pm
0.9089 0.0911 0.2500 Pm
0.4685 0.5315 0.2500 Pr
0.5315 0.4685 0.7500 Pr
0.0157 0.7931 0.3836 Dy
0.0619 0.5175 0.1802 Dy
0.2069 0.9843 0.1164 Dy
0.2545 0.6169 0.5574 Dy
0.3831 0.7455 0.9426 Dy
0.4825 0.9381 0.3198 Dy
0.5175 0.0619 0.6802 Dy
0.6169 0.2545 0.0574 Dy
0.7455 0.3831 0.4426 Dy
0.7931 0.0157 0.8836 Dy
0.9381 0.4825 0.8198 Dy
0.9843 0.2069 0.6164 Dy
0.1987 0.3016 0.9508 Er
0.3016 0.1987 0.4508 Er
0.6984 0.8013 0.5492 Er
0.8013 0.6984 0.0492 Er
```

## Properties
As for the space group: C2/c (15). Its calculated volume is 32.5 A^3/atom. Its crystal system is monoclinic. For the formation energy, the calculation gives 123 meV per atom. The energy is -4.5043 eV per atom. The density of states at the Fermi level is 30.01 states/eV/cell.


# 3
VASP calculation (PBE) on an optimized crystal structure of PmPr2Dy2Er2.

```
PmPr2Dy2Er2
1.0
17.7947 0.0000 0.0000
0.0000 3.5059 0.0000
-3.8535 0.0000 7.5907
Pm Pr Dy Er
2 4 4 4
direct
0.0000 0.0000 0.0000 Pm
0.5000 0.5000 0.0000 Pm
0.1475 0.5000 0.8837 Pr
0.3525 0.0000 0.1163 Pr
0.6475 0.0000 0.8837 Pr
0.8525 0.5000 0.1163 Pr
0.0706 0.5000 0.4049 Dy
0.4294 0.0000 0.5951 Dy
0.5706 0.0000 0.4049 Dy
0.9294 0.5000 0.5951 Dy
0.2116 0.0000 0.3010 Er
0.2884 0.5000 0.6990 Er
0.7116 0.5000 0.3010 Er
0.7884 0.0000 0.6990 Er
```

## Properties
As for the space group: C2/m (12). Its calculated volume is 33.8 A^3/atom. Its crystal system is monoclinic. For the formation energy, the calculation gives 147 meV per atom. The energy is -4.5155 eV per atom. The density of states at the Fermi level is 24.34 states/eV/cell.


# 4
VASP calculation (PBE) on an optimized crystal structure of Pm3PrDy2Er6.

```
Pm3PrDy2Er6
1.0
3.0920 -5.3530 0.0000
3.0920 5.3530 0.0000
-2.0533 0.0000 11.5705
Pm Pr Dy Er
3 1 2 6
direct
0.0000 0.0000 0.0000 Pm
0.3331 0.6669 0.0000 Pm
0.6669 0.3331 0.0000 Pm
0.5000 0.5000 0.5000 Pr
0.1668 0.8332 0.5000 Dy
0.8332 0.1668 0.5000 Dy
0.0827 0.4167 0.2510 Er
0.2493 0.2493 0.7489 Er
0.4167 0.0827 0.2510 Er
0.5833 0.9173 0.7490 Er
0.7507 0.7507 0.2511 Er
0.9173 0.5833 0.7490 Er
```

## Properties
As for the space group: C2/m (12). Its calculated volume is 31.9 A^3/atom. Its crystal system is monoclinic. For the formation energy, the calculation gives 17 meV per atom. The energy is -4.6172 eV per atom. The density of states at the Fermi level is 14.42 states/eV/cell.


# 5
VASP calculation (PBE) on an optimized crystal structure of PmPr3Dy6Er2.

```
PmPr3Dy6Er2
1.0
3.1114 -5.3871 0.0000
3.1114 5.3871 0.0000
-2.0675 0.0000 11.6817
Pm Pr Dy Er
1 3 6 2
direct
0.0000 0.0000 0.0000 Pm
0.1669 0.8331 0.5000 Pr
0.5000 0.5000 0.5000 Pr
0.8331 0.1669 0.5000 Pr
0.0823 0.4162 0.2459 Dy
0.2517 0.2517 0.7541 Dy
0.4162 0.0823 0.2459 Dy
0.5838 0.9177 0.7541 Dy
0.7483 0.7483 0.2459 Dy
0.9177 0.5838 0.7541 Dy
0.3332 0.6668 0.0000 Er
0.6668 0.3332 0.0000 Er
```

## Properties
As for the space group: C2/m (12). Its calculated volume is 32.6 A^3/atom. Its crystal system is monoclinic. For the formation energy, the calculation gives 19 meV per atom. The energy is -4.6335 eV per atom. The density of states at the Fermi level is 15.50 states/eV/cell.


# 6
VASP calculation (PBE) on an optimized crystal structure of PmPr6Dy2Er3.

```
PmPr6Dy2Er3
1.0
3.1538 -5.4626 0.0000
3.1538 5.4626 0.0000
-2.0965 0.0000 11.7076
Pm Pr Dy Er
1 6 2 3
direct
0.0000 0.0000 0.0000 Pm
0.0843 0.4181 0.2520 Pr
0.2495 0.2495 0.7481 Pr
0.4181 0.0843 0.2520 Pr
0.5819 0.9157 0.7480 Pr
0.7505 0.7505 0.2519 Pr
0.9157 0.5819 0.7480 Pr
0.3335 0.6665 0.0000 Dy
0.6665 0.3335 0.0000 Dy
0.1668 0.8332 0.5000 Er
0.5000 0.5000 0.5000 Er
0.8332 0.1668 0.5000 Er
```

## Properties
As for the space group: C2/m (12). Its calculated volume is 33.6 A^3/atom. Its crystal system is monoclinic. For the formation energy, the calculation gives 13 meV per atom. The energy is -4.6804 eV per atom. The density of states at the Fermi level is 13.33 states/eV/cell.


# 7
VASP calculation (PBE) on an optimized crystal structure of PmPr2DyEr.

```
PmPr2DyEr
1.0
4.2160 -5.8320 0.0000
4.2160 5.8320 0.0000
0.0000 0.0000 7.3317
Pm Pr Dy Er
2 4 2 2
direct
0.0264 0.9736 0.7500 Pm
0.9736 0.0264 0.2500 Pm
0.3075 0.3075 0.0000 Pr
0.3075 0.3075 0.5000 Pr
0.6925 0.6925 0.0000 Pr
0.6925 0.6925 0.5000 Pr
0.2601 0.7399 0.2500 Dy
0.7399 0.2601 0.7500 Dy
0.2877 0.7123 0.7500 Er
0.7123 0.2877 0.2500 Er
```

## Properties
As for the space group: Cmcm (63). Its calculated volume is 36.1 A^3/atom. Its crystal system is orthorhombic. For the formation energy, the calculation gives 432 meV per atom. The energy is -4.2628 eV per atom. The density of states at the Fermi level is 14.90 states/eV/cell.


# 8
VASP calculation (PBE) on an optimized crystal structure of Pm2PrDy6Er.

```
Pm2PrDy6Er
1.0
4.5385 -7.5441 0.0000
4.5385 7.5441 0.0000
-1.3770 0.0000 9.5821
Pm Pr Dy Er
4 2 12 2
direct
0.1968 0.2996 0.0440 Pm
0.2996 0.1968 0.5440 Pm
0.7004 0.8032 0.4560 Pm
0.8032 0.7004 0.9560 Pm
0.0199 0.9801 0.2500 Pr
0.9801 0.0199 0.7500 Pr
0.0187 0.5699 0.1855 Dy
0.1235 0.7428 0.5573 Dy
0.2572 0.8765 0.9427 Dy
0.2942 0.5081 0.3810 Dy
0.4301 0.9813 0.3145 Dy
0.4919 0.7058 0.1190 Dy
0.5081 0.2942 0.8810 Dy
0.5699 0.0187 0.6855 Dy
0.7058 0.4919 0.6190 Dy
0.7428 0.1235 0.0573 Dy
0.8765 0.2572 0.4427 Dy
0.9813 0.4301 0.8145 Dy
0.4081 0.5919 0.7500 Er
0.5919 0.4081 0.2500 Er
```

## Properties
As for the space group: C2/c (15). Its calculated volume is 32.8 A^3/atom. Its crystal system is monoclinic. For the formation energy, the calculation gives 116 meV per atom. The energy is -4.5293 eV per atom. The density of states at the Fermi level is 28.12 states/eV/cell.


# 9
VASP calculation (PBE) on an optimized crystal structure of PmPr3Dy2Er6.

```
PmPr3Dy2Er6
1.0
3.1039 -5.3740 0.0000
3.1039 5.3740 0.0000
-2.0598 0.0000 11.5881
Pm Pr Dy Er
1 3 2 6
direct
0.0000 0.0000 0.0000 Pm
0.1668 0.8332 0.5000 Pr
0.5000 0.5000 0.5000 Pr
0.8332 0.1668 0.5000 Pr
0.3333 0.6667 0.0000 Dy
0.6667 0.3333 0.0000 Dy
0.0825 0.4161 0.2467 Er
0.2512 0.2512 0.7532 Er
0.4161 0.0825 0.2467 Er
0.5839 0.9175 0.7533 Er
0.7488 0.7488 0.2468 Er
0.9175 0.5839 0.7533 Er
```

## Properties
As for the space group: C2/m (12). Its calculated volume is 32.2 A^3/atom. Its crystal system is monoclinic. For the formation energy, the calculation gives 19 meV per atom. The energy is -4.6200 eV per atom. The density of states at the Fermi level is 14.29 states/eV/cell.


# 10
VASP calculation (PBE) on an optimized crystal structure of PmPrDyEr.

```
PmPrDyEr
1.0
3.4632 0.0000 0.0000
0.0000 5.6489 0.0000
0.0000 0.0000 6.8160
Pm Pr Dy Er
1 1 1 1
direct
0.0000 0.0000 0.0000 Pm
0.0000 0.0000 0.4801 Pr
0.0000 0.5000 0.7415 Dy
0.5000 0.5000 0.2367 Er
```

## Properties
As for the space group: Pmm2 (25). Its calculated volume is 33.3 A^3/atom. Its crystal system is orthorhombic. For the relative energy among the computed polymorphs, the calculation gives 0.070 eV per atom. For the formation energy, the calculation gives 181 meV per atom. The energy is -4.4928 eV per atom. The density of states at the Fermi level is 8.02 states/eV/cell.